VASP calculation (PBE) on a relaxed structure of Cu2Sn2Bi.

The offset from the most stable computed form is 0.26 eV per formula unit.

The structure belongs to space group I4/mmm (No. 139); the cell edges are 4.298, 4.298 and 11.984 Å and the angles 90.00°, 90.00° and 90.00°. The asymmetric unit holds Cu at (0.000, 0.000, 0.101), Sn at (0.000, 0.500, 0.250) and Bi at (0.000, 0.000, 0.500).


VASP calculation (PBE) on a relaxed structure of Hf2Cd2Pb.

The offset from the most stable computed form is 0.00 eV per formula unit.

The structure belongs to space group P4/mbm (No. 127); the cell edges are 7.568, 7.568 and 4.261 Å and the angles 90.00°, 90.00° and 90.00°. The asymmetric unit holds Hf at (0.142, 0.358, 0.000), Cd at (0.153, 0.653, 0.500) and Pb at (0.000, 0.000, 0.000).


VASP calculation (PBE) on a relaxed structure of HfV3Ag.

The offset from the most stable computed form is 0.00 eV per formula unit.

The structure belongs to space group Pm-3m (No. 221); the cell edges are 4.765, 4.765 and 4.765 Å and the angles 90.00°, 90.00° and 90.00°. The asymmetric unit holds Hf at (0.000, 0.000, 0.000), V at (0.000, 0.500, 0.500) and Ag at (0.500, 0.500, 0.500).


VASP calculation (PBE) on a relaxed structure of TlPOs.

The offset from the most stable computed form is 0.00 eV per formula unit.

The structure belongs to space group I4mm (No. 107); the cell edges are 3.009, 3.009 and 12.827 Å and the angles 90.00°, 90.00° and 90.00°. The asymmetric unit holds Tl at (0.000, 0.000, 0.000), P at (0.000, 0.000, 0.275) and Os at (0.000, 0.000, 0.688).


VASP calculation (PBE) on a relaxed structure of SrIn2SiHg.

The raw formation energy comes out at 0.471 eV/atom.

The structure belongs to space group P4/mmm (No. 123); the cell edges are 5.378, 5.378 and 6.100 Å and the angles 90.00°, 90.00° and 90.00°. The asymmetric unit holds Sr at (0.000, 0.000, 0.000), In at (0.000, 0.500, 0.500), Si at (0.500, 0.500, 0.000) and Hg at (0.000, 0.000, 0.500).


VASP calculation (PBE) on a relaxed structure of CsOsRu2O.

The raw formation energy comes out at 1.105 eV/atom.

The structure belongs to space group P4/mmm (No. 123); the cell edges are 5.019, 5.019 and 3.830 Å and the angles 90.00°, 90.00° and 90.00°. The asymmetric unit holds Cs at (0.000, 0.000, 0.000), Os at (0.500, 0.500, 0.500), Ru at (0.000, 0.500, 0.500) and O at (0.500, 0.500, 0.000).


VASP calculation (PBE) on a relaxed structure of Np2TeSe.

The offset from the most stable computed form is 0.49 eV per formula unit. The raw formation energy comes out at -0.680 eV/atom.

The structure belongs to space group Fm-3m (No. 225); the cell edges are 7.342, 7.342 and 7.342 Å and the angles 90.00°, 90.00° and 90.00°. The asymmetric unit holds Np at (0.250, 0.250, 0.250), Te at (0.000, 0.000, 0.000) and Se at (0.000, 0.000, 0.500).


VASP calculation (PBE) on a relaxed structure of La2Tb7Y4.

The calculated total energy comes out at -65.82 eV per cell.

The structure belongs to space group P-31m (No. 162); the cell edges are 6.1356, 6.1356 and 13.3094 Å and the angles 90.00°, 90.00° and 120.00°. The asymmetric unit holds La at (0.3333, 0.6667, 0.0000), Tb at (0.0000, 0.0000, 0.0000), Tb at (0.0000, 0.3602, 0.7817), Y at (0.0000, 0.0000, 0.3942) and Y at (0.3333, 0.6667, 0.5000).